Crystalline YTi2Pt2 at its relaxed geometry. Source: the Alexandria database, functional PBE.

The structure in extended XYZ format:
```
5
Lattice="4.347 0.000 0.000 0.000 4.347 0.000 2.173 2.173 5.301" Properties=species:S:1:pos:R:3 pbc="T T T"
Pt 4.347 4.347 3.985
Pt 2.173 2.173 1.315
Y 0.000 0.000 0.000
Ti 2.173 4.347 2.650
Ti 4.347 2.173 2.650
```

Energy, eV/atom: -7.7619
Formation energy from the elements, eV per atom: -0.89
Density, g/cm3: 9.5